The following is a DFT calculation (GGA-PBE) of a geometry-optimized CdIn2Br structure.

Values from the calculation:
E_form (uncorrected) (eV/f.u.): -0.64
DOS(E_F) (states/eV/f.u.): 0.6

Cell and atoms, written as POSCAR:
```
CdIn2Br
1.0
3.955 0.000 0.000
0.000 3.955 0.000
0.000 0.000 7.310
Cd In Br
1 2 1
Direct
0.000 0.000 0.000
0.000 0.000 0.460
0.500 0.500 0.232
0.500 0.500 0.766
```